# 1
Computed, not measured: a relaxed structure of BaIrBr2 at the GGA-PBEsol level of DFT.

Unit cell a=3.6642 b=3.6642 c=7.6412 alpha=90.00 beta=90.00 gamma=90.00
Atoms (fractional coordinates):
Ba 0.0000 0.0000 0.0000
Ir 0.5000 0.5000 0.6686
Br 0.0000 0.0000 0.6054
Br 0.5000 0.5000 0.2506

## Properties
Its energy relative to the lowest polymorph listed for this composition is 139 meV per atom.


# 2
Computed, not measured: a relaxed structure of CaCrN2F at the GGA-PBEsol level of DFT.

Unit cell a=4.4596 b=4.4596 c=4.0621 alpha=90.00 beta=90.00 gamma=90.00
Atoms (fractional coordinates):
Ca 0.0000 0.0000 0.0000
Cr 0.5000 0.5000 0.5000
N 0.0000 0.5000 0.0000
N 0.5000 0.0000 0.0000
F 0.0000 0.0000 0.5000

## Properties
Its energy relative to the lowest polymorph listed for this composition is 1833 meV per atom.


# 3
Computed, not measured: a relaxed structure of SrIn4Pd at the GGA-PBEsol level of DFT.

Unit cell a=8.7831 b=8.7831 c=7.4026 alpha=90.00 beta=90.00 gamma=149.97
Atoms (fractional coordinates):
Sr 0.1246 0.8754 0.7500
Sr 0.8754 0.1246 0.2500
In 0.0679 0.9321 0.2500
In 0.3158 0.6842 0.5505
In 0.3158 0.6842 0.9495
In 0.5000 0.5000 0.0000
In 0.5000 0.5000 0.5000
In 0.6842 0.3158 0.0505
In 0.6842 0.3158 0.4495
In 0.9321 0.0679 0.7500
Pd 0.2244 0.7756 0.2500
Pd 0.7756 0.2244 0.7500

## Properties
For the formation enthalpy at 0 K, the calculation gives -0.494 eV per atom.


Values for DFT total energy, eV per atom, ordered as above
-4.27; -5.66; -3.78